# La2ErCdSe5, relaxed, DFT PBE
data_La2ErCdSe5
_chemical_formula_sum 'La8 Er4 Cd4 Se20'
_symmetry_space_group_name_H-M 'C m c 21'
_symmetry_Int_Tables_number 36
_symmetry_space_group_name_Hall 'C 2c -2'
_cell_length_a 4.152
_cell_length_b 17.864
_cell_length_c 12.787
_cell_angle_alpha 90.00
_cell_angle_beta 90.00
_cell_angle_gamma 90.00
loop_
_atom_site_label
_atom_site_type_symbol
_atom_site_fract_x
_atom_site_fract_y
_atom_site_fract_z
_atom_site_occupancy
La1 La 0.000 0.116 0.000 1
La2 La 0.000 0.134 0.624 1
Er1 Er 0.000 0.203 0.328 1
Cd1 Cd 0.000 0.456 0.770 1
Se1 Se 0.000 0.050 0.390 1
Se2 Se 0.000 0.287 0.982 1
Se3 Se 0.000 0.310 0.671 1
Se4 Se 0.000 0.360 0.317 1
Se5 Se 0.000 0.494 0.082 1
# V = 26.3 Å³ per atom
# Total magnetic moment = 0.0 μB per cell
# E_tot = -5.2733 eV per atom
# Formation energy without anion corrections = -1634 meV/atom



# Ac2Pm2Pt2Rh, relaxed, DFT PBE
data_Ac2Pm2Pt2Rh
_chemical_formula_sum 'Ac4 Pm4 Pt4 Rh2'
_symmetry_space_group_name_H-M 'C 1 2/m 1'
_symmetry_Int_Tables_number 12
_symmetry_space_group_name_Hall '-C 2y'
_cell_length_a 14.347
_cell_length_b 4.100
_cell_length_c 8.155
_cell_angle_alpha 90.00
_cell_angle_beta 118.97
_cell_angle_gamma 90.00
loop_
_atom_site_label
_atom_site_type_symbol
_atom_site_fract_x
_atom_site_fract_y
_atom_site_fract_z
_atom_site_occupancy
Ac1 Ac 0.042 0.000 0.273 1
Pm1 Pm 0.212 0.500 0.793 1
Pt1 Pt 0.121 0.500 0.052 1
Rh1 Rh 0.000 0.500 0.500 1
# V = 30.0 Å³ per atom
# Total magnetic moment = 0.0 μB per cell
# ΔE_f = -0.8463 eV/atom
# E_tot = -6.1536 eV per atom



# NdNiPb, relaxed, DFT PBE
data_NdNiPb
_chemical_formula_sum 'Nd2 Ni2 Pb2'
_symmetry_space_group_name_H-M 'P 1 21/m 1'
_symmetry_Int_Tables_number 11
_symmetry_space_group_name_Hall '-P 2yb'
_cell_length_a 4.623
_cell_length_b 4.596
_cell_length_c 6.873
_cell_angle_alpha 90.00
_cell_angle_beta 90.82
_cell_angle_gamma 90.00
loop_
_atom_site_label
_atom_site_type_symbol
_atom_site_fract_x
_atom_site_fract_y
_atom_site_fract_z
_atom_site_occupancy
Nd1 Nd 0.247 0.250 0.217 1
Ni1 Ni 0.276 0.750 0.500 1
Pb1 Pb 0.242 0.250 0.719 1
# V = 24.3 Å³ per atom
# Total magnetic moment = 0.0 μB per cell
# ΔE_f = -0.3821 eV/atom
# E_tot = -5.1346 eV per atom



# CaPrSi2Pd5, relaxed, DFT PBE
data_CaPrSi2Pd5
_chemical_formula_sum 'Ca1 Pr1 Si2 Pd5'
_symmetry_space_group_name_H-M 'P 4/m m m'
_symmetry_Int_Tables_number 123
_symmetry_space_group_name_Hall '-P 4 2'
_cell_length_a 4.247
_cell_length_b 4.247
_cell_length_c 9.052
_cell_angle_alpha 90.00
_cell_angle_beta 90.00
_cell_angle_gamma 90.00
loop_
_atom_site_label
_atom_site_type_symbol
_atom_site_fract_x
_atom_site_fract_y
_atom_site_fract_z
_atom_site_occupancy
Ca1 Ca 0.000 0.000 0.000 1
Pr1 Pr 0.000 0.000 0.500 1
Si1 Si 0.500 0.500 0.132 1
Pd1 Pd 0.000 0.500 0.263 1
Pd2 Pd 0.500 0.500 0.500 1
# V = 18.1 Å³ per atom
# Total magnetic moment = 0.0 μB per cell
# E_tot = -5.6594 eV per atom
# Formation energy without anion corrections = -816 meV/atom



# Mg2CoHg, relaxed, DFT PBE
data_Mg2CoHg
_chemical_formula_sum 'Mg4 Co2 Hg2'
_symmetry_space_group_name_H-M 'I m m 2'
_symmetry_Int_Tables_number 44
_symmetry_space_group_name_Hall 'I 2 -2'
_cell_length_a 3.876
_cell_length_b 4.064
_cell_length_c 8.753
_cell_angle_alpha 90.00
_cell_angle_beta 90.00
_cell_angle_gamma 90.00
loop_
_atom_site_label
_atom_site_type_symbol
_atom_site_fract_x
_atom_site_fract_y
_atom_site_fract_z
_atom_site_occupancy
Mg1 Mg 0.000 0.000 0.000 1
Mg2 Mg 0.000 0.500 0.245 1
Co1 Co 0.000 0.500 0.744 1
Hg1 Hg 0.000 0.000 0.491 1
# V = 17.2 Å³ per atom
# Total magnetic moment = 1.8 μB per cell
# ΔE_f = 0.0557 eV/atom
# E_tot = -2.5935 eV per atom



# CdGa3Cu3, relaxed, DFT PBE
data_CdGa3Cu3
_chemical_formula_sum 'Cd2 Ga6 Cu6'
_symmetry_space_group_name_H-M 'P m -3 n'
_symmetry_Int_Tables_number 223
_symmetry_space_group_name_Hall '-P 4n 2 3'
_cell_length_a 6.777
_cell_length_b 6.777
_cell_length_c 6.777
_cell_angle_alpha 90.00
_cell_angle_beta 90.00
_cell_angle_gamma 90.00
loop_
_atom_site_label
_atom_site_type_symbol
_atom_site_fract_x
_atom_site_fract_y
_atom_site_fract_z
_atom_site_occupancy
Cd1 Cd 0.000 0.000 0.000 1
Ga1 Ga 0.000 0.250 0.500 1
Cu1 Cu 0.000 0.500 0.250 1
# V = 22.2 Å³ per atom
# Total magnetic moment = 0.0 μB per cell
# ΔE_f = 0.4247 eV/atom
# E_tot = -2.7588 eV per atom



# CoHg3Mo, relaxed, DFT PBE
data_CoHg3Mo
_chemical_formula_sum 'Co1 Hg3 Mo1'
_symmetry_space_group_name_H-M 'P m -3 m'
_symmetry_Int_Tables_number 221
_symmetry_space_group_name_Hall '-P 4 2 3'
_cell_length_a 4.928
_cell_length_b 4.928
_cell_length_c 4.928
_cell_angle_alpha 90.00
_cell_angle_beta 90.00
_cell_angle_gamma 90.00
loop_
_atom_site_label
_atom_site_type_symbol
_atom_site_fract_x
_atom_site_fract_y
_atom_site_fract_z
_atom_site_occupancy
Co1 Co 0.000 0.000 0.000 1
Hg1 Hg 0.000 0.000 0.500 1
Mo1 Mo 0.500 0.500 0.500 1
# V = 23.9 Å³ per atom
# Total magnetic moment = 5.1 μB per cell
# ΔE_f = 1.1135 eV/atom
# E_tot = -2.6550 eV per atom



# Y6HgPd12, relaxed, DFT PBE
data_Y6HgPd12
_chemical_formula_sum 'Y18 Hg3 Pd36'
_symmetry_space_group_name_H-M 'R -3'
_symmetry_Int_Tables_number 148
_symmetry_space_group_name_Hall '-R 3'
_cell_length_a 11.0099
_cell_length_b 11.0099
_cell_length_c 11.0015
_cell_angle_alpha 90.00
_cell_angle_beta 90.00
_cell_angle_gamma 120.00
loop_
_atom_site_label
_atom_site_type_symbol
_atom_site_fract_x
_atom_site_fract_y
_atom_site_fract_z
_atom_site_occupancy
Y1 Y 0.0109 0.4331 0.2468 1
Hg1 Hg 0.0000 0.0000 0.5000 1
Pd1 Pd 0.0634 0.1974 0.3222 1
Pd2 Pd 0.0657 0.8934 0.8882 1
# V = 20.3 Å³ per atom
# Total magnetic moment = 0.0 μB per cell
# ΔE_f = -0.6965 eV/atom
# E_tot = -6.0333 eV per atom



# GaHg3P, relaxed, DFT PBE
data_GaHg3P
_chemical_formula_sum 'Ga1 Hg3 P1'
_symmetry_space_group_name_H-M 'P m -3 m'
_symmetry_Int_Tables_number 221
_symmetry_space_group_name_Hall '-P 4 2 3'
_cell_length_a 5.300
_cell_length_b 5.300
_cell_length_c 5.300
_cell_angle_alpha 90.00
_cell_angle_beta 90.00
_cell_angle_gamma 90.00
loop_
_atom_site_label
_atom_site_type_symbol
_atom_site_fract_x
_atom_site_fract_y
_atom_site_fract_z
_atom_site_occupancy
Ga1 Ga 0.000 0.000 0.000 1
Hg1 Hg 0.000 0.000 0.500 1
P1 P 0.500 0.500 0.500 1
# V = 29.8 Å³ per atom
# Total magnetic moment = 2.1 μB per cell
# ΔE_f = 0.6286 eV/atom
# E_tot = -1.2398 eV per atom



# NpAgPb2, relaxed, DFT PBE
data_NpAgPb2
_chemical_formula_sum 'Np1 Ag1 Pb2'
_symmetry_space_group_name_H-M 'P 4/m m m'
_symmetry_Int_Tables_number 123
_symmetry_space_group_name_Hall '-P 4 2'
_cell_length_a 3.424
_cell_length_b 3.424
_cell_length_c 8.792
_cell_angle_alpha 90.00
_cell_angle_beta 90.00
_cell_angle_gamma 90.00
loop_
_atom_site_label
_atom_site_type_symbol
_atom_site_fract_x
_atom_site_fract_y
_atom_site_fract_z
_atom_site_occupancy
Np1 Np 0.000 0.000 0.000 1
Ag1 Ag 0.000 0.000 0.500 1
Pb1 Pb 0.500 0.500 0.271 1
# V = 25.8 Å³ per atom
# Total magnetic moment = 4.9 μB per cell
# ΔE_f = 0.2662 eV/atom
# E_tot = -5.5360 eV per atom



# LiMnZn17, relaxed, DFT PBE
data_LiMnZn17
_chemical_formula_sum 'Li3 Mn3 Zn51'
_symmetry_space_group_name_H-M 'R 3 m'
_symmetry_Int_Tables_number 160
_symmetry_space_group_name_Hall 'R 3 -2"'
_cell_length_a 7.9299
_cell_length_b 7.9299
_cell_length_c 16.1822
_cell_angle_alpha 90.00
_cell_angle_beta 90.00
_cell_angle_gamma 120.00
loop_
_atom_site_label
_atom_site_type_symbol
_atom_site_fract_x
_atom_site_fract_y
_atom_site_fract_z
_atom_site_occupancy
Li1 Li 0.0000 0.0000 0.0000 1
Mn1 Mn 0.0000 0.0000 0.2963 1
Zn1 Zn 0.0000 0.0000 0.5618 1
Zn2 Zn 0.0000 0.0000 0.7128 1
Zn3 Zn 0.0071 0.3387 0.3030 1
Zn4 Zn 0.2138 0.4276 0.5026 1
Zn5 Zn 0.2149 0.4298 0.1023 1
Zn6 Zn 0.2210 0.4420 0.8197 1
# V = 15.5 Å³ per atom
# Total magnetic moment = 9.9 μB per cell
# ΔE_f = 0.0186 eV/atom
# E_tot = -1.7046 eV per atom



# ZrTlCl5, relaxed, DFT PBE
data_ZrTlCl5
_chemical_formula_sum 'Zr4 Tl4 Cl20'
_symmetry_space_group_name_H-M 'C 1 2/c 1'
_symmetry_Int_Tables_number 15
_symmetry_space_group_name_Hall '-C 2yc'
_cell_length_a 11.967
_cell_length_b 8.548
_cell_length_c 10.093
_cell_angle_alpha 90.00
_cell_angle_beta 113.19
_cell_angle_gamma 90.00
loop_
_atom_site_label
_atom_site_type_symbol
_atom_site_fract_x
_atom_site_fract_y
_atom_site_fract_z
_atom_site_occupancy
Zr1 Zr 0.000 0.000 0.000 1
Tl1 Tl 0.000 0.471 0.250 1
Cl1 Cl 0.000 0.070 0.250 1
Cl2 Cl 0.076 0.268 0.995 1
Cl3 Cl 0.207 0.097 0.616 1
# V = 33.9 Å³ per atom
# Total magnetic moment = 0.0 μB per cell
# E_tot = -4.4328 eV per atom
# Formation energy without anion corrections = -1555 meV/atom



Number 6 is which compound?
CdGa3Cu3